Compound: CsTe2MoAuSe
Source: OQMD
Functional: PBE-GGA
Structure: optimized geometry

- space group = Cmcm (63)
- energy (eV/atom) = -4.361
- V (Å³/f.u.) = 187
- size of the total moment (μB per atom) = 0.347

Cell: 8.798 8.798 10.553 Å, 90.00 90.00 152.78°
Positions (direct):
Cs  0.242  0.758  0.750
Cs  0.758  0.242  0.250
Te  0.388  0.612  0.023
Te  0.388  0.612  0.477
Te  0.612  0.388  0.523
Te  0.612  0.388  0.977
Mo  0.000  0.000  0.000
Mo  0.000  0.000  0.500
Au  0.458  0.542  0.250
Au  0.542  0.458  0.750
Se  0.056  0.944  0.250
Se  0.944  0.056  0.750


Compound: Cs4PAu2N
Source: OQMD
Functional: PBE-GGA
Structure: optimized geometry

- space group = Amm2 (38)
- energy (eV/atom) = -3.078
- V (Å³/f.u.) = 266

Cell: 7.145 6.400 6.400 Å, 114.71 90.00 90.00°
Positions (direct):
Cs  0.000  0.170  0.830
Cs  0.000  0.830  0.170
Cs  0.500  0.584  0.928
Cs  0.500  0.928  0.584
P  0.500  0.221  0.221
Au  0.223  0.427  0.427
Au  0.777  0.427  0.427
N  0.000  0.622  0.622


Compound: CsRb3Au2N2
Source: OQMD
Functional: PBE-GGA
Structure: optimized geometry

- space group = Pm (6)
- energy (eV/atom) = -3.156
- V (Å³/f.u.) = 219

Cell: 5.627 7.025 5.975 Å, 90.00 112.25 90.00°
Positions (direct):
Cs  0.000  0.000  0.000
Rb  0.177  0.500  0.205
Rb  0.342  0.000  0.627
Rb  0.521  0.500  0.832
Au  0.759  0.251  0.418
Au  0.759  0.749  0.418
N  0.572  0.000  0.245
N  0.942  0.500  0.600


Compound: Cs3RbAu2N2
Source: OQMD
Functional: PBE-GGA
Structure: optimized geometry

- space group = Pm (6)
- energy (eV/atom) = -3.120
- V (Å³/f.u.) = 240

Cell: 5.520 7.168 6.512 Å, 90.00 111.51 90.00°
Positions (direct):
Cs  0.000  0.000  0.000
Cs  0.167  0.500  0.217
Cs  0.679  0.000  0.398
Rb  0.851  0.500  0.622
Au  0.418  0.251  0.793
Au  0.418  0.749  0.793
N  0.244  0.000  0.638
N  0.594  0.500  0.948


Compound: Cs2NaAu7
Source: OQMD
Functional: PBE-GGA
Structure: optimized geometry

- space group = Cmmm (65)
- energy (eV/atom) = -2.843
- V (Å³/f.u.) = 285

Cell: 7.344 7.344 7.473 Å, 90.00 90.00 134.92°
Positions (direct):
Cs  0.159  0.841  0.000
Cs  0.841  0.159  0.000
Na  0.000  0.000  0.500
Au  0.000  0.500  0.500
Au  0.397  0.603  0.311
Au  0.397  0.603  0.689
Au  0.500  0.000  0.500
Au  0.500  0.500  0.000
Au  0.603  0.397  0.311
Au  0.603  0.397  0.689


Compound: Cs3NaAu
Source: OQMD
Functional: PBE-GGA
Structure: optimized geometry

- space group = P2_1/m (11)
- energy (eV/atom) = -1.555
- V (Å³/f.u.) = 336

Cell: 8.323 10.168 8.323 Å, 90.00 107.48 90.00°
Positions (direct):
Cs  0.246  0.000  0.245
Cs  0.246  0.500  0.245
Cs  0.247  0.250  0.750
Cs  0.753  0.750  0.250
Cs  0.754  0.000  0.755
Cs  0.754  0.500  0.755
Na  0.244  0.750  0.757
Na  0.756  0.250  0.243
Au  0.019  0.750  0.981
Au  0.981  0.250  0.019